Crystalline GdNbCuOs at its relaxed geometry, computed with GGA-PBE.

Final energy ... -39.32 eV per cell
Energy of formation ... 0.0398 eV per atom

```
GdNbCuOs
1.0
0.0000 3.3083 3.3083
3.3083 0.0000 3.3083
3.3083 3.3083 0.0000
Gd Nb Cu Os
1 1 1 1
Direct
0.0000 0.0000 0.0000
0.5000 0.5000 0.5000
0.2500 0.2500 0.2500
0.7500 0.7500 0.7500
```